VASP calculation (GGA+U) on TmCo3Re4O12 after structural relaxation.

POSCAR file:
```
TmCo3Re4O12
1.0
-3.8057 -5.2801 0.6709
-3.2704 5.3112 1.9769
1.6849 0.6898 -6.2847
O Co Re Tm
12 3 4 1
Direct
0.6992 0.1732 0.8723
0.8268 0.5260 0.6992
0.3008 0.8268 0.1277
0.5260 0.6992 0.8268
0.1732 0.4740 0.3008
0.1277 0.3008 0.8268
0.4740 0.3008 0.1732
0.6992 0.8268 0.5260
0.3008 0.1732 0.4740
0.8723 0.6992 0.1732
0.1732 0.8723 0.6992
0.8268 0.1277 0.3008
0.5000 0.0000 0.5000
0.5000 0.5000 0.0000
0.0000 0.5000 0.5000
0.5000 0.0000 0.0000
0.5000 0.5000 0.5000
0.0000 0.5000 0.0000
0.0000 0.0000 0.5000
0.0000 0.0000 0.0000
```

Values from the calculation:
- final energy (Ha/atom) = -0.2827